Record 1
Density functional theory data (PBE) for NdY2Au2 after structural relaxation.

abc: 8.2624 8.2624 3.8427
angles: 90.00 90.00 90.00
Space group P4/mbm (No. 127)
One atom of each set of equivalent atoms:
Nd 0.0000 0.0000 0.0000 x2
Y 0.1616 0.3384 0.5000 x4
Au 0.1306 0.6306 0.0000 x4

Computed properties:
* mass density: 9.06 Mg/m³
* formation energy: -65.8 kJ/mol of atoms
* Fermi-level density of states: 5.88 states/eV/f.u.
* total magnetization: 0.00 μB/f.u.
* calculated total energy: -5.532 eV/atom
* relative energy among the computed polymorphs: 0 meV per atom

Record 2
Density functional theory data (PBE) for Nd3YAu2 after structural relaxation.

abc: 5.1048 9.2887 7.2378
angles: 90.00 90.00 90.00
Space group Pmc2_1 (No. 26)
One atom of each set of equivalent atoms:
Nd 0.0000 0.0767 0.0000 x2
Nd 0.0000 0.3350 0.3571 x2
Nd 0.5000 0.1650 0.6600 x2
Y 0.5000 0.4272 0.0159 x2
Au 0.0000 0.3512 0.7721 x2
Au 0.5000 0.1584 0.2431 x2

Computed properties:
* mass density: 8.86 Mg/m³
* formation energy: -54.4 kJ/mol of atoms
* Fermi-level density of states: 6.30 states/eV/f.u.
* total magnetization: 0.00 μB/f.u.
* calculated total energy: -5.118 eV/atom

Record 3
Density functional theory data (PBE) for NdY2Au3 after structural relaxation.

abc: 3.6156 3.6156 11.0869
angles: 90.00 90.00 90.00
Space group P4/mmm (No. 123)
One atom of each set of equivalent atoms:
Nd 0.0000 0.0000 0.0000 x1
Y 0.0000 0.0000 0.3367 x2
Au 0.5000 0.5000 0.1800 x2
Au 0.5000 0.5000 0.5000 x1

Computed properties:
* mass density: 10.46 Mg/m³
* formation energy: -80.2 kJ/mol of atoms
* Fermi-level density of states: 2.50 states/eV/f.u.
* total magnetization: 0.00 μB/f.u.
* calculated total energy: -5.419 eV/atom

Record 4
Density functional theory data (PBE) for NdY2Au6 after structural relaxation.

abc: 5.3091 16.3429 5.2742
angles: 90.00 119.22 90.00
Space group C2/m (No. 12)
One atom of each set of equivalent atoms:
Nd 0.0000 0.0000 0.0000 x2
Y 0.0000 0.3341 0.5000 x4
Au 0.1556 0.5000 0.3276 x4
Au 0.1640 0.1679 0.8303 x8

Computed properties:
* mass density: 12.50 Mg/m³
* formation energy: -73.3 kJ/mol of atoms
* Fermi-level density of states: 5.01 states/eV/f.u.
* total magnetization: 0.00 μB/f.u.
* calculated total energy: -4.911 eV/atom

Record 5
Density functional theory data (PBE) for Nd3YAu4 after structural relaxation.

abc: 5.2166 5.2166 25.6553
angles: 90.00 90.00 120.00
Space group R-3m (No. 166, hexagonal axes)
One atom of each set of equivalent atoms:
Nd 0.0000 0.0000 0.0000 x3
Nd 0.0000 0.0000 0.2495 x6
Y 0.0000 0.0000 0.5000 x3
Au 0.0000 0.0000 0.1276 x6
Au 0.0000 0.0000 0.3785 x6

Computed properties:
* mass density: 10.79 Mg/m³
* formation energy: -75.3 kJ/mol of atoms
* Fermi-level density of states: 6.59 states/eV/f.u.
* total magnetization: 0.00 μB/f.u.
* calculated total energy: -5.016 eV/atom

Record 6
Density functional theory data (PBE) for Nd3Y2Au2 after structural relaxation.

abc: 12.7500 3.8377 9.2931
angles: 90.00 113.89 90.00
Space group C2/m (No. 12)
One atom of each set of equivalent atoms:
Nd 0.0000 0.0000 0.0000 x2
Nd 0.1122 0.0000 0.4424 x4
Y 0.1539 0.5000 0.8113 x4
Au 0.1724 0.5000 0.2199 x4

Computed properties:
* mass density: 8.02 Mg/m³
* formation energy: -44.5 kJ/mol of atoms
* Fermi-level density of states: 7.23 states/eV/f.u.
* total magnetization: 0.00 μB/f.u.
* calculated total energy: -5.287 eV/atom

Record 7
Density functional theory data (PBE) for NdYAu4 after structural relaxation.

abc: 3.8029 5.3115 7.6037
angles: 69.98 75.62 69.21
Space group P-1 (No. 2)
One atom of each set of equivalent atoms:
Nd 0.0000 0.0000 0.0000 x1
Y 0.0000 0.5000 0.5000 x1
Au 0.3342 0.9942 0.3392 x2
Au 0.3379 0.5046 0.8227 x2

Computed properties:
* mass density: 12.70 Mg/m³
* formation energy: -78.2 kJ/mol of atoms
* Fermi-level density of states: 2.71 states/eV/f.u.
* total magnetization: 0.00 μB/f.u.
* calculated total energy: -4.868 eV/atom

Record 8
Density functional theory data (PBE) for Nd2YAu after structural relaxation.

abc: 3.7493 3.7493 8.5481
angles: 90.00 90.00 90.00
Space group P4/mmm (No. 123)
One atom of each set of equivalent atoms:
Nd 0.0000 0.0000 0.2100 x2
Y 0.5000 0.5000 0.5000 x1
Au 0.5000 0.5000 0.0000 x1

Computed properties:
* mass density: 7.94 Mg/m³
* formation energy: -33.3 kJ/mol of atoms
* Fermi-level density of states: 6.14 states/eV/f.u.
* total magnetization: 0.00 μB/f.u.
* calculated total energy: -5.164 eV/atom
* relative energy among the computed polymorphs: 61 meV per atom